Compound: Tm8Co3Rh2
Source: the Alexandria database
Functional: PBE
Structure: optimized geometry

Values from the calculation:
Symmetry: Cmmm
Formation energy from the elements (eV per atom): -0.42
Crystal system: orthorhombic

Cell lengths 8.131, 8.131, 4.664 Å; angles 90.00, 90.00, 109.98 degrees
Positions (direct):
Tm 0.120 0.880 0.000
Tm 0.130 0.371 0.500
Tm 0.371 0.130 0.500
Tm 0.379 0.621 0.000
Tm 0.621 0.379 0.000
Tm 0.629 0.870 0.500
Tm 0.870 0.629 0.500
Tm 0.880 0.120 0.000
Co 0.254 0.254 0.000
Co 0.500 0.500 0.500
Co 0.746 0.746 0.000
Rh 0.251 0.749 0.500
Rh 0.749 0.251 0.500